## LiRh2WO6 (PBE with a Hubbard U)

Data for a relaxed LiRh2WO6 crystal.

Cell lengths 5.8142, 5.8142, 3.9978 Å; angles 90.00, 90.00, 90.00 degrees
Sites, in units of the cell vectors:
Li  0.0000  0.0000  0.0000
Rh  0.0000  0.5000  0.1499
Rh  0.5000  0.0000  0.1499
W  0.5000  0.5000  0.9862
O  0.0000  0.0000  0.5034
O  0.2656  0.2656  0.0690
O  0.2656  0.7344  0.0690
O  0.5000  0.5000  0.5374
O  0.7344  0.2656  0.0690
O  0.7344  0.7344  0.0690

## Properties
**Symmetry**: P4mm, No. 99
**Final energy**: -6.149 eV/atom
**Crystal system**: tetragonal